No. 1
Compound: BeNiAg
Source: the Open Quantum Materials Database
Functional: PBE
Structure: relaxed

```
BeNiAg
1.0
0.000 2.816 2.816
2.816 0.000 2.816
2.816 2.816 0.000
Ag Be Ni
1 1 1
Direct
0.000 0.000 0.000
0.250 0.250 0.250
0.750 0.750 0.750
```

Values from the calculation:
- E_tot: -10.2 eV for the cell shown
- Energy above the lowest structure with this stoichiometry: 449 meV/atom

---

No. 2
Compound: Zr2ScAl3NiIr2
Source: the Open Quantum Materials Database
Functional: PBE
Structure: relaxed

```
Zr2ScAl3NiIr2
1.0
-2.123 2.367 -1.509
-0.202 -3.936 -5.889
-4.798 -1.048 5.108
Al Ir Ni Sc Zr
3 2 1 1 2
Direct
0.500 0.250 0.250
0.500 0.997 0.752
0.500 0.752 0.997
0.500 0.666 0.331
0.500 0.331 0.666
0.000 0.004 0.004
0.000 0.594 0.594
0.000 0.000 0.406
0.000 0.406 0.000
```

Values from the calculation:
- E_tot: -65.4 eV for the cell shown

---

No. 3
Compound: Cu2Ag3
Source: the Open Quantum Materials Database
Functional: PBE
Structure: relaxed

```
Cu2Ag3
1.0
0.586 9.580 -1.038
-2.250 9.318 -1.148
-0.198 -0.280 5.794
Ag Cu
6 4
Direct
0.413 0.413 0.208
0.586 0.586 0.290
0.805 0.805 0.399
0.197 0.197 0.589
0.598 0.598 0.810
0.804 0.804 0.903
0.199 0.199 0.104
0.997 0.997 0.530
0.406 0.406 0.701
0.995 0.995 0.967
```

Values from the calculation:
- E_tot: -31.0 eV for the cell shown
- Energy of formation from the pure elements: 0.08 eV per atom
- Energy above the lowest structure with this stoichiometry: 48 meV/atom

---

No. 4
Compound: SrZnSO
Source: the Open Quantum Materials Database
Functional: PBE
Structure: relaxed

```
SrZnSO
1.0
5.466 0.000 0.000
0.000 5.466 0.000
0.000 0.000 6.744
O S Sr Zn
2 2 2 2
Direct
0.250 0.250 0.417
0.750 0.750 0.583
0.250 0.250 0.172
0.750 0.750 0.828
0.750 0.250 0.000
0.250 0.750 0.000
0.750 0.750 0.306
0.250 0.250 0.694
```

Values from the calculation:
- E_tot: -30.6 eV for the cell shown